Entry from Alexandria: Ca2TePb after structural relaxation (PBE).

Cell lengths 5.6399, 5.6399, 5.6399 Å; angles 60.00, 60.00, 60.00 degrees
Atoms (fractional coordinates):
Ca 0.0000 0.0000 0.0000
Ca 0.2500 0.2500 0.2500
Te 0.7500 0.7500 0.7500
Pb 0.5000 0.5000 0.5000

***

Entry from Alexandria: Ca3Te4Pb after structural relaxation (PBE).

Cell lengths 7.9043, 7.9043, 4.5504 Å; angles 90.00, 90.00, 109.45 degrees
Atoms (fractional coordinates):
Ca 0.0000 0.0000 0.0000
Ca 0.0000 0.5000 0.5000
Ca 0.5000 0.0000 0.5000
Te 0.2438 0.2438 0.5000
Te 0.2473 0.7527 0.0000
Te 0.7527 0.2473 0.0000
Te 0.7562 0.7562 0.5000
Pb 0.5000 0.5000 0.0000

***

Entry from Alexandria: CaTe4Pb3 after structural relaxation (PBE).

Cell lengths 7.9981, 7.9981, 4.6031 Å; angles 90.00, 90.00, 109.37 degrees
Atoms (fractional coordinates):
Ca 0.0000 0.0000 0.0000
Te 0.2440 0.2440 0.5000
Te 0.2469 0.7531 0.0000
Te 0.7531 0.2469 0.0000
Te 0.7560 0.7560 0.5000
Pb 0.0000 0.5000 0.5000
Pb 0.5000 0.0000 0.5000
Pb 0.5000 0.5000 0.0000

***

Entry from Alexandria: Ca3TePb after structural relaxation (PBE).

Cell lengths 5.7946, 5.7946, 5.7946 Å; angles 90.00, 90.00, 90.00 degrees
Atoms (fractional coordinates):
Ca 0.0000 0.0000 0.5000
Ca 0.0000 0.5000 0.0000
Ca 0.5000 0.0000 0.0000
Te 0.0000 0.0000 0.0000
Pb 0.5000 0.5000 0.5000

***

We obtain calculated volume values of 31.71; 33.51; 34.72; 38.91 A^3/atom for the records listed above, in that order.
We obtain theoretical density values of 5.432; 5.190; 7.006; 3.883 g cm⁻³ for the records listed above, in that order.
We obtain formation energy without anion corrections values of -0.304; -1.326; -0.706; -0.568 eV per atom for the records listed above, in that order.